Here is a relaxed structure of LiHfHgPb from Alexandria. Energies are from GGA-PBE.

Summary:
Uncorrected energy: -3.99 eV/atom
ΔE_f: -0.023 eV/atom
Total magnetic moment: 0.0 μB/f.u.
Density of states at the Fermi level: 6.29 states/eV/cell

Cell: 7.037 7.037 7.037 Å, 90.00 90.00 90.00°
Space group F-43m (No. 216)
Inequivalent atoms, fractional coordinates:
Li 0.000 0.000 0.000 (multiplicity 4)
Hf 0.000 0.000 0.500 (multiplicity 4)
Hg 0.250 0.250 0.750 (multiplicity 4)
Pb 0.250 0.250 0.250 (multiplicity 4)